The following is a DFT calculation (PBE) of a relaxed structure of Sc2TlTc.

Unit cell a=4.7939 b=4.7939 c=4.7939 alpha=60.00 beta=60.00 gamma=60.00
Positions (direct):
Sc1 0.0000 0.0000 0.0000
Sc2 0.2500 0.2500 0.2500
Tl1 0.7500 0.7500 0.7500
Tc1 0.5000 0.5000 0.5000

Values from the calculation:
The value obtained for the energy of formation is 0.24 eV/f.u. The value obtained for the total magnetization is 0.000 μB/atom.

***

The following is a DFT calculation (PBE) of a relaxed structure of Ni2SnIr2.

Unit cell a=7.1251 b=7.1251 c=2.9427 alpha=90.00 beta=90.00 gamma=90.00
Positions (direct):
Ni1 0.1651 0.3349 0.0000
Ni2 0.3349 0.8349 0.0000
Ni3 0.6651 0.1651 0.0000
Ni4 0.8349 0.6651 0.0000
Sn1 0.0000 0.0000 0.5000
Sn2 0.5000 0.5000 0.5000
Ir1 0.1313 0.6313 0.5000
Ir2 0.3687 0.1313 0.5000
Ir3 0.6313 0.8687 0.5000
Ir4 0.8687 0.3687 0.5000

Values from the calculation:
The value obtained for the energy of formation is 0.81 eV/f.u. The value obtained for the total magnetization is 0.243 μB/atom.

***

The following is a DFT calculation (PBE) of a relaxed structure of RbMnAg2S4.

Unit cell a=6.4340 b=6.4340 c=6.4340 alpha=118.19 beta=118.19 gamma=93.16
Positions (direct):
Rb1 0.0000 0.0000 0.0000
Mn1 0.5000 0.5000 0.0000
Ag1 0.2500 0.7500 0.5000
Ag2 0.7500 0.2500 0.5000
S1 0.1734 0.1734 0.6345
S2 0.4611 0.8266 0.0000
S3 0.5389 0.5389 0.3655
S4 0.8266 0.4611 0.0000

Values from the calculation:
The calculation puts the uncorrected formation energy at -3.3 eV/f.u. The value obtained for the total magnetization is 0.247 μB/atom.

***

The following is a DFT calculation (PBE) of a relaxed structure of Ba7LaRh3.

Unit cell a=8.6777 b=8.6777 c=10.6616 alpha=126.42 beta=126.42 gamma=61.95
Positions (direct):
Ba1 0.0000 0.0000 0.0000
Ba2 0.0617 0.5698 0.1630
Ba3 0.5043 0.5043 0.0015
Ba4 0.5044 0.9941 0.5102
Ba5 0.5653 0.5653 0.6679
Ba6 0.5698 0.0617 0.1630
Ba7 0.9941 0.5044 0.5102
La1 0.0386 0.0386 0.6654
Rh1 0.2713 0.7969 0.8260
Rh2 0.7969 0.2713 0.8260
Rh3 0.7987 0.7987 0.3543

Values from the calculation:
The value obtained for the energy of formation is -2.78 eV/f.u. The value obtained for the total magnetization is 0.000 μB/atom.

***

The following is a DFT calculation (PBE) of a relaxed structure of La2AuF.

Unit cell a=7.8821 b=7.8821 c=7.8821 alpha=134.86 beta=134.86 gamma=65.75
Positions (direct):
La1 0.0693 0.6250 0.9443
La2 0.3750 0.3193 0.4443
La3 0.6807 0.1250 0.0557
La4 0.8750 0.9307 0.5557
Au1 0.2500 0.7500 0.5000
Au2 0.5000 0.5000 0.0000
F1 0.0000 0.0000 0.0000
F2 0.7500 0.2500 0.5000

Values from the calculation:
The calculation puts the uncorrected formation energy at -5.9 eV/f.u. The value obtained for the total magnetization is 0.000 μB/atom.

***

The following is a DFT calculation (PBE) of a relaxed structure of LaSm4Al.

Unit cell a=3.6542 b=3.6542 c=14.1758 alpha=90.00 beta=90.00 gamma=90.00
Positions (direct):
La1 0.0000 0.0000 0.0000
Sm1 0.0000 0.0000 0.3672
Sm2 0.0000 0.0000 0.6328
Sm3 0.5000 0.5000 0.1845
Sm4 0.5000 0.5000 0.8155
Al1 0.5000 0.5000 0.5000

Values from the calculation:
The value obtained for the energy of formation is -0.58 eV/f.u. The value obtained for the total magnetization is 0.000 μB/atom.

***

The following is a DFT calculation (PBE) of a relaxed structure of ErPuAg2S4.

Unit cell a=7.1616 b=7.1616 c=5.4328 alpha=112.21 beta=112.21 gamma=44.16
Positions (direct):
Er1 0.0000 0.0000 0.0000
Pu1 0.7511 0.7511 0.2510
Ag1 0.2106 0.2106 0.7120
Ag2 0.4500 0.4500 0.3929
S1 0.2276 0.2276 0.2299
S2 0.5219 0.5219 0.0018
S3 0.7778 0.7778 0.7775
S4 0.9835 0.9835 0.4811

Values from the calculation:
The calculation puts the uncorrected formation energy at -9.3 eV/f.u. The value obtained for the total magnetization is 0.625 μB/atom.

***

The following is a DFT calculation (PBE) of a relaxed structure of Tb6NdY2Ho.

Unit cell a=8.8152 b=8.8152 c=9.5919 alpha=93.85 beta=93.85 gamma=117.46
Positions (direct):
Tb1 0.0229 0.5711 0.1838
Tb2 0.1187 0.7536 0.5566
Tb3 0.2464 0.8813 0.9434
Tb4 0.2926 0.5086 0.3802
Tb5 0.4289 0.9771 0.3162
Tb6 0.4914 0.7074 0.1198
Tb7 0.5086 0.2926 0.8802
Tb8 0.5711 0.0229 0.6838
Tb9 0.7074 0.4914 0.6198
Tb10 0.7536 0.1187 0.0566
Tb11 0.8813 0.2464 0.4434
Tb12 0.9771 0.4289 0.8162
Nd1 0.4068 0.5932 0.7500
Nd2 0.5932 0.4068 0.2500
Y1 0.1944 0.2955 0.0450
Y2 0.2955 0.1944 0.5450
Y3 0.7045 0.8056 0.4550
Y4 0.8056 0.7045 0.9550
Ho1 0.0269 0.9731 0.2500
Ho2 0.9731 0.0269 0.7500

Values from the calculation:
The value obtained for the energy of formation is 1.26 eV/f.u. The value obtained for the total magnetization is 0.000 μB/atom.

***

Please write out number 3 again, unchanged.
The following is a DFT calculation (PBE) of a relaxed structure of RbMnAg2S4.

Unit cell a=6.4340 b=6.4340 c=6.4340 alpha=118.19 beta=118.19 gamma=93.16
Positions (direct):
Rb1 0.0000 0.0000 0.0000
Mn1 0.5000 0.5000 0.0000
Ag1 0.2500 0.7500 0.5000
Ag2 0.7500 0.2500 0.5000
S1 0.1734 0.1734 0.6345
S2 0.4611 0.8266 0.0000
S3 0.5389 0.5389 0.3655
S4 0.8266 0.4611 0.0000

Values from the calculation:
The calculation puts the uncorrected formation energy at -3.3 eV/f.u. The value obtained for the total magnetization is 0.247 μB/atom.

***

- Among the records above, which one has the highest total magnetization?
  ErPuAg2S4